1.
Density functional theory data (GGA-PBE) for an optimized crystal structure of Ho6Al3S14.

Cell and atoms, written as extended XYZ:
```
23
Lattice="9.531 0.000 0.000 -4.766 8.254 0.000 0.000 0.000 6.148" Properties=species:S:1:pos:R:3 pbc="T T T"
Ho -1.971 4.020 0.000
Ho 1.898 1.482 3.029
Ho -0.299 7.951 0.000
Ho 2.269 4.538 0.000
Ho 7.299 0.903 3.029
Ho 5.099 5.869 3.029
Al 0.000 0.000 0.408
Al 0.000 5.503 3.520
Al 4.766 2.751 4.117
S 0.000 0.000 4.322
S -0.241 2.022 1.374
S -2.894 7.453 1.374
S -1.845 6.336 4.494
S 0.201 3.488 4.494
S 0.000 5.503 1.278
S 2.989 1.897 5.477
S 4.595 0.770 2.613
S 3.135 3.890 2.613
S 1.644 6.684 4.494
S 3.135 7.034 1.374
S 6.394 1.640 5.477
S 4.914 4.718 5.477
S 6.567 3.594 2.613
```

E_tot ... -134.82 eV per cell
Symmetry ... P3
Spin magnetization ... 0.000 μB/cell
Mass density ... 5.22 g/cm³
Raw formation energy ... -1.667 eV per atom

2.
Density functional theory data (GGA-PBE) for an optimized crystal structure of ZnSb2Rh.

Cell and atoms, written as extended XYZ:
```
16
Lattice="6.873 0.000 0.000 0.000 6.873 0.000 0.000 0.000 6.873" Properties=species:S:1:pos:R:3 pbc="T T T"
Zn 0.000 0.000 0.000
Zn 0.000 3.436 3.436
Zn 3.436 0.000 3.436
Zn 3.436 3.436 0.000
Sb 0.000 0.000 3.436
Sb 0.000 3.436 0.000
Sb 1.718 1.718 5.154
Sb 1.718 5.154 1.718
Sb 3.436 0.000 0.000
Sb 3.436 3.436 3.436
Sb 5.154 1.718 1.718
Sb 5.154 5.154 5.154
Rh 1.718 1.718 1.718
Rh 1.718 5.154 5.154
Rh 5.154 1.718 5.154
Rh 5.154 5.154 1.718
```

E_tot ... -63.56 eV per cell
Symmetry ... F-43m
Spin magnetization ... 0.000 μB/cell
Mass density ... 8.43 g/cm³
Raw formation energy ... 0.245 eV per atom

3.
Density functional theory data (GGA-PBE) for an optimized crystal structure of Pm3Ga2H.

Cell and atoms, written as extended XYZ:
```
12
Lattice="5.779 -3.137 0.000 5.779 3.137 0.000 -2.027 0.000 7.914" Properties=species:S:1:pos:R:3 pbc="T T T"
Pm 4.259 2.481 5.936
Pm 3.377 0.702 2.833
Pm 2.364 -0.702 6.791
Pm 7.168 0.702 1.124
Pm 6.154 -0.702 5.081
Pm 5.273 -2.481 1.979
Ga 1.853 0.868 0.158
Ga 0.840 -0.868 4.115
Ga 8.692 0.868 3.799
Ga 7.679 -0.868 7.756
H 4.259 0.246 5.936
H 5.273 -0.246 1.979
```

E_tot ... -52.98 eV per cell
Symmetry ... C2/c
Spin magnetization ... 0.000 μB/cell
Mass density ... 6.66 g/cm³